# 1
VASP calculation (PBE) on a relaxed Tb4NdTm5 crystal.

abc: 3.536 6.736 14.292
angles: 95.54 101.39 106.48
Positions (direct):
Tm 0.759 0.880 0.583
Tm 0.950 0.574 0.388
Tm 0.500 0.500 0.000
Tm 0.050 0.426 0.612
Tb 0.845 0.724 0.804
Tm 0.241 0.120 0.417
Tb 0.155 0.276 0.196
Tb 0.591 0.190 0.781
Tb 0.409 0.810 0.219
Nd 0.500 0.000 0.000

Total DFT energy (no corrections), eV for the cell shown: -45.0
Magnetization, μB per formula unit: 0.00
Formation enthalpy at 0 K, eV per formula unit: 0.61
Energy above the lowest structure with this stoichiometry, eV per formula unit: 0.000

# 2
VASP calculation (PBE) on a relaxed Tb4Nd3Tm2 crystal.

abc: 6.148 11.267 11.267
angles: 62.44 62.87 62.87
Positions (direct):
Tb 0.430 0.606 0.842
Tm 0.588 0.720 0.490
Nd 0.245 0.312 0.026
Tb 0.930 0.842 0.606
Tb 0.081 0.820 0.057
Nd 0.745 0.026 0.312
Tb 0.419 0.943 0.180
Tm 0.088 0.490 0.720
Tb 0.570 0.394 0.158
Nd 0.750 0.354 0.646
Tm 0.912 0.510 0.280
Tb 0.581 0.057 0.820
Tb 0.070 0.158 0.394
Nd 0.255 0.974 0.688
Tb 0.919 0.180 0.943
Tm 0.412 0.280 0.510
Nd 0.250 0.646 0.354
Nd 0.755 0.688 0.974

Total DFT energy (no corrections), eV for the cell shown: -81.8
Magnetization, μB per formula unit: 0.00
Formation enthalpy at 0 K, eV per formula unit: 0.89
Energy above the lowest structure with this stoichiometry, eV per formula unit: 0.732

# 3
VASP calculation (PBE) on a relaxed Tb2Nd12Tm crystal.

abc: 6.851 6.851 25.014
angles: 90.00 90.00 116.44
Positions (direct):
Nd 0.752 0.252 0.129
Nd 0.252 0.752 0.871
Nd 0.270 0.770 0.415
Nd 0.500 0.500 0.802
Tb 0.000 0.500 0.734
Tb 0.500 0.000 0.729
Nd 0.775 0.725 0.440
Nd 0.730 0.230 0.415
Nd 0.230 0.730 0.585
Nd 0.000 0.000 0.802
Nd 0.748 0.248 0.871
Tm 0.500 0.000 0.999
Nd 0.725 0.775 0.560
Tb 0.000 0.500 0.271
Nd 0.248 0.252 0.927
Nd 0.252 0.248 0.073
Tm 0.000 0.500 0.001
Nd 0.500 0.500 0.198
Nd 0.500 0.500 0.325
Nd 0.225 0.275 0.440
Nd 0.500 0.500 0.675
Nd 0.752 0.748 0.927
Nd 0.000 0.000 0.675
Nd 0.000 0.000 0.198
Tb 0.500 0.000 0.266
Nd 0.248 0.748 0.129
Nd 0.275 0.225 0.560
Nd 0.748 0.752 0.073
Nd 0.000 0.000 0.325
Nd 0.770 0.270 0.585

Total DFT energy (no corrections), eV for the cell shown: -137.2
Magnetization, μB per formula unit: 0.00
Formation enthalpy at 0 K, eV per formula unit: 2.35

# 4
VASP calculation (PBE) on a relaxed TbNd2Tm6 crystal.

abc: 6.518 9.513 9.513
angles: 95.79 81.11 81.11
Positions (direct):
Tm 0.502 0.654 0.276
Tm 0.267 0.942 0.539
Tm 0.002 0.276 0.654
Nd 0.375 0.330 0.384
Tm 0.815 0.957 0.779
Tb 0.250 0.118 0.882
Tm 0.998 0.724 0.346
Tm 0.498 0.346 0.724
Tm 0.733 0.058 0.461
Nd 0.625 0.670 0.616
Tm 0.767 0.539 0.942
Nd 0.125 0.616 0.670
Nd 0.875 0.384 0.330
Tm 0.685 0.221 0.043
Tb 0.750 0.882 0.118
Tm 0.185 0.043 0.221
Tm 0.233 0.461 0.058
Tm 0.315 0.779 0.957

Total DFT energy (no corrections), eV for the cell shown: -80.0
Magnetization, μB per formula unit: 0.00
Formation enthalpy at 0 K, eV per formula unit: 0.99